No. 1
Density functional theory data (GGA-PBE) for a geometry-optimized La4Tb7Pm structure.

CIF file:
```
data_La4Tb7Pm
_cell_length_a 3.6348
_cell_length_b 3.6348
_cell_length_c 35.4379
_cell_angle_alpha 90.00
_cell_angle_beta 90.00
_cell_angle_gamma 120.00
_space_group_name_H-M_alt 'P -3 m 1'
_space_group_IT_number 164
_space_group_name_Hall '-P 3 2"'
loop_
_atom_site_label
_atom_site_fract_x
_atom_site_fract_y
_atom_site_fract_z
_atom_site_occupancy
La1 0.3333 0.6667 0.1666 1
La2 0.3333 0.6667 0.4162 1
Tb1 0.0000 0.0000 0.2511 1
Tb2 0.0000 0.0000 0.5000 1
Tb3 0.3333 0.6667 0.6681 1
Tb4 0.3333 0.6667 0.9178 1
Pm1 0.0000 0.0000 0.0000 1
```

Properties
calculated volume: 405 Å³/cell
total magnetization: 0.0 μB per formula unit
formation enthalpy at 0 K: 0.19 eV/f.u.
polymorph energy (0 for the lowest one): 0.0 kJ per mole of atoms
E_tot: -4.72 eV/atom

No. 2
Density functional theory data (GGA-PBE) for a geometry-optimized Rb2PuTlCl8 structure.

CIF file:
```
data_Rb2PuTlCl8
_cell_length_a 6.9641
_cell_length_b 7.0825
_cell_length_c 9.2636
_cell_angle_alpha 90.02
_cell_angle_beta 90.00
_cell_angle_gamma 93.26
_space_group_name_H-M_alt 'P -1'
_space_group_IT_number 2
loop_
_space_group_symop_operation_xyz
'x,y,z'
'-x,-y,-z'
loop_
_atom_site_label
_atom_site_fract_x
_atom_site_fract_y
_atom_site_fract_z
_atom_site_occupancy
Rb1 0.0017 0.0008 0.2550 1
Pu1 0.5000 0.5000 0.5000 1
Tl1 0.5000 0.5000 0.0000 1
Cl1 0.2627 0.1852 0.9990 1
Cl2 0.2865 0.6232 0.2929 1
Cl3 0.2880 0.6251 0.7073 1
Cl4 0.2973 0.1831 0.5013 1
```

Properties
calculated volume: 456 Å³/cell
total magnetization: 4.5 μB per formula unit
E_tot: -4.31 eV/atom
ΔE_f (raw): -1.526 eV per atom

No. 3
Density functional theory data (GGA-PBE) for a geometry-optimized SrReN3 structure.

CIF file:
```
data_SrReN3
_cell_length_a 4.1699
_cell_length_b 5.2783
_cell_length_c 8.8056
_cell_angle_alpha 89.08
_cell_angle_beta 76.41
_cell_angle_gamma 66.74
_space_group_name_H-M_alt 'P 1'
_space_group_IT_number 1
loop_
_space_group_symop_operation_xyz
'x,y,z'
loop_
_atom_site_label
_atom_site_fract_x
_atom_site_fract_y
_atom_site_fract_z
_atom_site_occupancy
Sr1 0.0000 0.0000 0.0000 1
Sr2 0.4793 0.6385 0.3980 1
Re1 0.6956 0.9597 0.6461 1
Re2 0.9817 0.3319 0.7022 1
N1 0.1933 0.9391 0.6716 1
N2 0.6606 0.7853 0.8926 1
N3 0.7584 0.0388 0.4400 1
N4 0.7914 0.5098 0.9067 1
N5 0.8381 0.0236 0.2954 1
N6 0.9612 0.5397 0.5341 1
```

Properties
calculated volume: 172 Å³/cell
total magnetization: 0.0 μB per formula unit
E_tot: -8.04 eV/atom
ΔE_f (raw): -0.217 eV per atom

No. 4
Density functional theory data (GGA-PBE) for a geometry-optimized BaTlSnHg structure.

CIF file:
```
data_BaTlSnHg
_cell_length_a 7.9637
_cell_length_b 7.9637
_cell_length_c 7.9637
_cell_angle_alpha 90.00
_cell_angle_beta 90.00
_cell_angle_gamma 90.00
_space_group_name_H-M_alt 'F -4 3 m'
_space_group_IT_number 216
_space_group_name_Hall 'F -4 2 3'
loop_
_atom_site_label
_atom_site_fract_x
_atom_site_fract_y
_atom_site_fract_z
_atom_site_occupancy
Ba1 0.0000 0.0000 0.0000 1
Tl1 0.2500 0.2500 0.2500 1
Sn1 0.0000 0.0000 0.5000 1
Hg1 0.2500 0.2500 0.7500 1
```

Properties
calculated volume: 505 Å³/cell
total magnetization: 0.0 μB per formula unit
formation enthalpy at 0 K: -1.42 eV/f.u.
polymorph energy (0 for the lowest one): 0.0 kJ per mole of atoms
E_tot: -2.50 eV/atom

No. 5
Density functional theory data (GGA-PBE) for a geometry-optimized Dy2HfSc6 structure.

CIF file:
```
data_Dy2HfSc6
_cell_length_a 3.3315
_cell_length_b 3.3315
_cell_length_c 24.1791
_cell_angle_alpha 90.00
_cell_angle_beta 90.00
_cell_angle_gamma 120.00
_space_group_name_H-M_alt 'P -6 m 2'
_space_group_IT_number 187
_space_group_name_Hall 'P -6 2'
loop_
_atom_site_label
_atom_site_fract_x
_atom_site_fract_y
_atom_site_fract_z
_atom_site_occupancy
Dy1 0.0000 0.0000 0.1747 1
Hf1 0.6667 0.3333 0.5000 1
Sc1 0.0000 0.0000 0.3976 1
Sc2 0.6667 0.3333 0.0621 1
Sc3 0.6667 0.3333 0.2898 1
```

Properties
calculated volume: 232 Å³/cell
total magnetization: 2.3 μB per formula unit
formation enthalpy at 0 K: 0.70 eV/f.u.
E_tot: -6.27 eV/atom

No. 6
Density functional theory data (GGA-PBE) for a geometry-optimized LiFeS2 structure.

CIF file:
```
data_LiFeS2
_cell_length_a 3.4200
_cell_length_b 3.4200
_cell_length_c 20.7702
_cell_angle_alpha 90.00
_cell_angle_beta 90.00
_cell_angle_gamma 120.00
_space_group_name_H-M_alt 'R -3 m'
_space_group_IT_number 166
_space_group_name_Hall '-R 3 2"'
loop_
_atom_site_label
_atom_site_fract_x
_atom_site_fract_y
_atom_site_fract_z
_atom_site_occupancy
Li1 0.0000 0.0000 0.0000 1
Fe1 0.0000 0.0000 0.5000 1
S1 0.0000 0.0000 0.1100 1
```

Properties
calculated volume: 210 Å³/cell
total magnetization: 1.0 μB per formula unit
E_tot: -5.15 eV/atom
ΔE_f (raw): -0.488 eV per atom